# Ni2PdSe2 (PBE-GGA, relaxed)
# - Offset from the most stable computed form: 238.3 meV/atom
# - Uncorrected formation energy: -0.018 eV per atom
# - Volume: 159.1 Å³ per cell
# - Fermi-level density of states: 12.8 states/eV per cell
# - Energy: -4.76 eV/atom
data_Ni2PdSe2
_chemical_formula_sum 'Ni4 Pd2 Se4'
_symmetry_space_group_name_H-M 'I 4/m m m'
_symmetry_Int_Tables_number 139
_symmetry_space_group_name_Hall '-I 4 2'
_cell_length_a 3.475
_cell_length_b 3.475
_cell_length_c 13.169
_cell_angle_alpha 90.00
_cell_angle_beta 90.00
_cell_angle_gamma 90.00
loop_
_atom_site_label
_atom_site_type_symbol
_atom_site_fract_x
_atom_site_fract_y
_atom_site_fract_z
Ni1 Ni 0.000 0.500 0.250
Pd1 Pd 0.000 0.000 0.000
Se1 Se 0.000 0.000 0.378

# Ho3Ge7Pd2 (PBE-GGA, relaxed)
# - Volume: 238.3 Å³ per cell
# - Fermi-level density of states: 4.0 states/eV per cell
# - Energy relative to the elements: -0.59 eV/atom
# - Energy: -5.30 eV/atom
data_Ho3Ge7Pd2
_chemical_formula_sum 'Ho3 Ge7 Pd2'
_symmetry_space_group_name_H-M 'P 1 2/m 1'
_symmetry_Int_Tables_number 10
_symmetry_space_group_name_Hall '-P 2y'
_cell_length_a 4.403
_cell_length_b 4.155
_cell_length_c 13.205
_cell_angle_alpha 90.00
_cell_angle_beta 99.34
_cell_angle_gamma 90.00
loop_
_atom_site_label
_atom_site_type_symbol
_atom_site_fract_x
_atom_site_fract_y
_atom_site_fract_z
Ho1 Ho 0.000 0.000 0.000
Ho2 Ho 0.314 0.500 0.633
Ge1 Ge 0.159 0.500 0.167
Ge2 Ge 0.227 0.000 0.453
Ge3 Ge 0.410 0.000 0.830
Ge4 Ge 0.500 0.500 0.000
Pd1 Pd 0.122 0.000 0.268

# ZrCd2I (PBE-GGA, relaxed)
# - Offset from the most stable computed form: 0.0 meV/atom
# - Uncorrected formation energy: 0.265 eV per atom
# - Volume: 440.1 Å³ per cell
# - Fermi-level density of states: 16.8 states/eV per cell
# - Energy: -2.72 eV/atom
data_ZrCd2I
_chemical_formula_sum 'Zr4 Cd8 I4'
_symmetry_space_group_name_H-M 'I -4 2 d'
_symmetry_Int_Tables_number 122
_symmetry_space_group_name_Hall 'I -4 2bw'
_cell_length_a 8.666
_cell_length_b 8.666
_cell_length_c 5.859
_cell_angle_alpha 90.00
_cell_angle_beta 90.00
_cell_angle_gamma 90.00
loop_
_atom_site_label
_atom_site_type_symbol
_atom_site_fract_x
_atom_site_fract_y
_atom_site_fract_z
Zr1 Zr 0.000 0.000 0.000
Cd1 Cd 0.227 0.750 0.125
I1 I 0.000 0.000 0.500

# Li2HoCl5 (PBE-GGA, relaxed)
# - Uncorrected formation energy: -1.974 eV per atom
# - Volume: 524.9 Å³ per cell
# - Fermi-level density of states: 0.0 states/eV per cell
# - Energy: -4.18 eV/atom
data_Li2HoCl5
_chemical_formula_sum 'Li4 Ho2 Cl10'
_symmetry_space_group_name_H-M 'C 1 m 1'
_symmetry_Int_Tables_number 8
_symmetry_space_group_name_Hall 'C -2y'
_cell_length_a 11.420
_cell_length_b 8.013
_cell_length_c 6.670
_cell_angle_alpha 90.00
_cell_angle_beta 120.68
_cell_angle_gamma 90.00
loop_
_atom_site_label
_atom_site_type_symbol
_atom_site_fract_x
_atom_site_fract_y
_atom_site_fract_z
Li1 Li 0.000 0.211 0.000
Ho1 Ho 0.279 0.500 0.238
Cl1 Cl 0.022 0.000 0.282
Cl2 Cl 0.023 0.500 0.136
Cl3 Cl 0.216 0.230 0.011
Cl4 Cl 0.371 0.500 0.681

# BaThBi (PBE-GGA, relaxed)
# - Volume: 465.5 Å³ per cell
# - Fermi-level density of states: 9.8 states/eV per cell
# - Energy relative to the elements: -0.59 eV/atom
# - Energy: -5.00 eV/atom
data_BaThBi
_chemical_formula_sum 'Ba4 Th4 Bi4'
_symmetry_space_group_name_H-M 'I 4/m m m'
_symmetry_Int_Tables_number 139
_symmetry_space_group_name_Hall '-I 4 2'
_cell_length_a 4.850
_cell_length_b 4.850
_cell_length_c 19.787
_cell_angle_alpha 90.00
_cell_angle_beta 90.00
_cell_angle_gamma 90.00
loop_
_atom_site_label
_atom_site_type_symbol
_atom_site_fract_x
_atom_site_fract_y
_atom_site_fract_z
Ba1 Ba 0.000 0.000 0.175
Th1 Th 0.000 0.500 0.000
Bi1 Bi 0.000 0.000 0.376

# CsHo3F10 (PBE-GGA, relaxed)
# - Uncorrected formation energy: -3.983 eV per atom
# - Volume: 1619.6 Å³ per cell
# - Fermi-level density of states: 0.0 states/eV per cell
# - Energy: -6.36 eV/atom
data_CsHo3F10
_chemical_formula_sum 'Cs8 Ho24 F80'
_symmetry_space_group_name_H-M 'F m -3 m'
_symmetry_Int_Tables_number 225
_symmetry_space_group_name_Hall '-F 4 2 3'
_cell_length_a 11.744
_cell_length_b 11.744
_cell_length_c 11.744
_cell_angle_alpha 90.00
_cell_angle_beta 90.00
_cell_angle_gamma 90.00
loop_
_atom_site_label
_atom_site_type_symbol
_atom_site_fract_x
_atom_site_fract_y
_atom_site_fract_z
Cs1 Cs 0.250 0.250 0.250
Ho1 Ho 0.000 0.000 0.240
F1 F 0.000 0.163 0.337
F2 F 0.109 0.109 0.109

# Sr2FeSbS (PBE-GGA, relaxed)
# - Uncorrected formation energy: -0.517 eV per atom
# - Volume: 143.7 Å³ per cell
# - Fermi-level density of states: 5.2 states/eV per cell
# - Energy: -4.53 eV/atom
data_Sr2FeSbS
_chemical_formula_sum 'Sr2 Fe1 Sb1 S1'
_symmetry_space_group_name_H-M 'P 4/m m m'
_symmetry_Int_Tables_number 123
_symmetry_space_group_name_Hall '-P 4 2'
_cell_length_a 5.976
_cell_length_b 5.976
_cell_length_c 4.025
_cell_angle_alpha 90.00
_cell_angle_beta 90.00
_cell_angle_gamma 90.00
loop_
_atom_site_label
_atom_site_type_symbol
_atom_site_fract_x
_atom_site_fract_y
_atom_site_fract_z
Sr1 Sr 0.000 0.500 0.000
Fe1 Fe 0.000 0.000 0.000
Sb1 Sb 0.500 0.500 0.500
S1 S 0.000 0.000 0.500

# Rb2OsCI6 (PBE-GGA, relaxed)
# - Uncorrected formation energy: 0.121 eV per atom
# - Volume: 722.6 Å³ per cell
# - Fermi-level density of states: 14.8 states/eV per cell
# - Energy: -3.05 eV/atom
data_Rb2OsCI6
_chemical_formula_sum 'Rb4 Os2 C2 I12'
_symmetry_space_group_name_H-M 'I 4/m m m'
_symmetry_Int_Tables_number 139
_symmetry_space_group_name_Hall '-I 4 2'
_cell_length_a 7.680
_cell_length_b 7.680
_cell_length_c 12.250
_cell_angle_alpha 90.00
_cell_angle_beta 90.00
_cell_angle_gamma 90.00
loop_
_atom_site_label
_atom_site_type_symbol
_atom_site_fract_x
_atom_site_fract_y
_atom_site_fract_z
Rb1 Rb 0.000 0.500 0.250
Os1 Os 0.000 0.000 0.000
C1 C 0.000 0.000 0.500
I1 I 0.000 0.000 0.221
I2 I 0.245 0.245 0.500

# Al2Ag14Se9 (PBE-GGA, relaxed)
# - Uncorrected formation energy: -0.134 eV per atom
# - Volume: 586.5 Å³ per cell
# - Fermi-level density of states: 3.9 states/eV per cell
# - Energy: -3.28 eV/atom
data_Al2Ag14Se9
_chemical_formula_sum 'Al2 Ag14 Se9'
_symmetry_space_group_name_H-M 'P -3'
_symmetry_Int_Tables_number 147
_symmetry_space_group_name_Hall '-P 3'
_cell_length_a 7.9924
_cell_length_b 7.9924
_cell_length_c 10.6015
_cell_angle_alpha 90.00
_cell_angle_beta 90.00
_cell_angle_gamma 120.00
loop_
_atom_site_label
_atom_site_type_symbol
_atom_site_fract_x
_atom_site_fract_y
_atom_site_fract_z
Al1 Al 0.3333 0.6667 0.2588
Ag1 Ag 0.0000 0.0000 0.2510
Ag2 Ag 0.0293 0.7443 0.4190
Ag3 Ag 0.0572 0.7057 0.9162
Se1 Se 0.0000 0.0000 0.0000
Se2 Se 0.0106 0.4171 0.3237
Se3 Se 0.3333 0.6667 0.0284

# Pr2ErAu2 (PBE-GGA, relaxed)
# - Offset from the most stable computed form: 0.0 meV/atom
# - Volume: 275.0 Å³ per cell
# - Fermi-level density of states: 10.7 states/eV per cell
# - Energy relative to the elements: -0.64 eV/atom
# - Energy: -4.77 eV/atom
data_Pr2ErAu2
_chemical_formula_sum 'Pr4 Er2 Au4'
_symmetry_space_group_name_H-M 'P 4/m b m'
_symmetry_Int_Tables_number 127
_symmetry_space_group_name_Hall '-P 4 2ab'
_cell_length_a 8.328
_cell_length_b 8.328
_cell_length_c 3.965
_cell_angle_alpha 90.00
_cell_angle_beta 90.00
_cell_angle_gamma 90.00
loop_
_atom_site_label
_atom_site_type_symbol
_atom_site_fract_x
_atom_site_fract_y
_atom_site_fract_z
Pr1 Pr 0.167 0.333 0.000
Er1 Er 0.000 0.000 0.500
Au1 Au 0.130 0.630 0.500

# BP2SO (PBE-GGA, relaxed)
# - Offset from the most stable computed form: 0.0 meV/atom
# - Uncorrected formation energy: 0.367 eV per atom
# - Volume: 60.7 Å³ per cell
# - Fermi-level density of states: 2.3 states/eV per cell
# - Energy: -4.95 eV/atom
data_BP2SO
_chemical_formula_sum 'B1 P2 S1 O1'
_symmetry_space_group_name_H-M 'P 4/m m m'
_symmetry_Int_Tables_number 123
_symmetry_space_group_name_Hall '-P 4 2'
_cell_length_a 4.539
_cell_length_b 4.539
_cell_length_c 2.949
_cell_angle_alpha 90.00
_cell_angle_beta 90.00
_cell_angle_gamma 90.00
loop_
_atom_site_label
_atom_site_type_symbol
_atom_site_fract_x
_atom_site_fract_y
_atom_site_fract_z
B1 B 0.000 0.000 0.000
P1 P 0.000 0.500 0.000
S1 S 0.500 0.500 0.500
O1 O 0.000 0.000 0.500

# Y5Ag3 (PBE-GGA, relaxed)
# - Offset from the most stable computed form: 44.5 meV/atom
# - Volume: 428.9 Å³ per cell
# - Fermi-level density of states: 23.6 states/eV per cell
# - Energy relative to the elements: -0.18 eV/atom
# - Energy: -5.29 eV/atom
data_Y5Ag3
_chemical_formula_sum 'Y10 Ag6'
_symmetry_space_group_name_H-M 'P 63/m c m'
_symmetry_Int_Tables_number 193
_symmetry_space_group_name_Hall '-P 6c 2'
_cell_length_a 8.8296
_cell_length_b 8.8296
_cell_length_c 6.3533
_cell_angle_alpha 90.00
_cell_angle_beta 90.00
_cell_angle_gamma 120.00
loop_
_atom_site_label
_atom_site_type_symbol
_atom_site_fract_x
_atom_site_fract_y
_atom_site_fract_z
Y1 Y 0.0000 0.2398 0.2500
Y2 Y 0.3333 0.6667 0.0000
Ag1 Ag 0.0000 0.4018 0.7500